# 1
! PBE NdZnAsO, optimized geometry; values from VASP
! Uncorrected energy, eV for the cell shown: -34.6
&SYSTEM
  ibrav = 0, nat = 8, ntyp = 4
/
ATOMIC_SPECIES
Nd 144.24 Nd.upf
Zn 65.41 Zn.upf
As 74.92 As.upf
O 16.00 O.upf
CELL_PARAMETERS angstrom
4.4062 0.0000 0.0000
0.0000 4.4062 0.0000
0.0000 0.0000 9.4006
ATOMIC_POSITIONS angstrom
Nd 1.1015 3.3046 0.0000
Nd 3.3046 1.1015 0.0000
Zn 1.1015 1.1015 4.5634
Zn 3.3046 3.3046 4.8372
As 1.1015 1.1015 1.8408
As 3.3046 3.3046 7.5599
O 1.1015 3.3046 4.7003
O 3.3046 1.1015 4.7003

# 2
! PBE ZrInAsO, optimized geometry; values from VASP
! Energy relative to the lowest polymorph listed for this composition, meV per atom: 0
&SYSTEM
  ibrav = 0, nat = 8, ntyp = 4
/
ATOMIC_SPECIES
Zr 91.22 Zr.upf
In 114.82 In.upf
As 74.92 As.upf
O 16.00 O.upf
CELL_PARAMETERS angstrom
3.7659 0.0000 0.0000
0.0000 8.7048 0.0000
0.0000 0.0000 5.5158
ATOMIC_POSITIONS angstrom
Zr 0.0000 1.2019 0.0000
Zr 0.0000 7.5029 2.7579
In 1.8830 3.4637 3.2881
In 1.8830 5.2411 0.5302
As 0.0000 1.4662 2.7149
As 0.0000 7.2386 5.4728
O 1.8830 1.9663 5.4627
O 1.8830 6.7386 2.7048

# 3
! PBE NaSnHg3Se4, optimized geometry; values from VASP
! Energy relative to the lowest polymorph listed for this composition, meV per atom: 55
&SYSTEM
  ibrav = 0, nat = 9, ntyp = 4
/
ATOMIC_SPECIES
Na 22.99 Na.upf
Sn 118.71 Sn.upf
Hg 200.59 Hg.upf
Se 78.96 Se.upf
CELL_PARAMETERS angstrom
6.6837 0.0000 0.0000
0.0000 6.6837 0.0000
0.0000 0.0000 6.6837
ATOMIC_POSITIONS angstrom
Na 0.0000 0.0000 0.0000
Sn 3.3418 3.3418 3.3418
Hg 0.0000 3.3418 3.3418
Hg 3.3418 0.0000 3.3418
Hg 3.3418 3.3418 0.0000
Se 1.6886 1.6886 1.6886
Se 1.6886 4.9950 4.9950
Se 4.9950 1.6886 4.9950
Se 4.9950 4.9950 1.6886

# 4
! PBE LaDyBiI2, optimized geometry; values from VASP
! Uncorrected energy, eV for the cell shown: -22.7
&SYSTEM
  ibrav = 0, nat = 5, ntyp = 4
/
ATOMIC_SPECIES
La 138.91 La.upf
Dy 162.50 Dy.upf
Bi 208.98 Bi.upf
I 126.90 I.upf
CELL_PARAMETERS angstrom
4.4903 0.0000 0.0000
-2.2451 3.8887 0.0000
0.0000 0.0000 11.5617
ATOMIC_POSITIONS angstrom
La 0.0000 0.0000 0.0000
Dy 2.2451 1.2962 7.9630
Bi 0.0000 2.5925 9.6366
I 0.0000 0.0000 6.0910
I 2.2451 1.2962 2.0397

# 5
! PBE Zr2SeSI2, optimized geometry; values from VASP
! Energy relative to the lowest polymorph listed for this composition, meV per atom: 47
&SYSTEM
  ibrav = 0, nat = 12, ntyp = 4
/
ATOMIC_SPECIES
Zr 91.22 Zr.upf
Se 78.96 Se.upf
S 32.06 S.upf
I 126.90 I.upf
CELL_PARAMETERS angstrom
3.7606 0.0000 0.0000
0.0000 6.4922 0.0000
0.0000 0.0000 15.8612
ATOMIC_POSITIONS angstrom
Zr 0.0000 0.1521 0.0000
Zr 0.0000 2.9949 7.9088
Zr 1.8803 3.4972 15.8394
Zr 1.8803 6.3401 7.9306
Se 0.0000 5.1784 6.3413
Se 1.8803 1.3137 14.2719
S 0.0000 0.8755 9.3411
S 1.8803 5.6167 1.4105
I 0.0000 2.3784 1.9934
I 0.0000 4.5412 13.7962
I 1.8803 1.9510 5.8656
I 1.8803 4.1137 9.9240

# 6
! PBE BaSmAs, optimized geometry; values from VASP
! Energy relative to the lowest polymorph listed for this composition, meV per atom: 0
&SYSTEM
  ibrav = 0, nat = 3, ntyp = 3
/
ATOMIC_SPECIES
Ba 137.33 Ba.upf
Sm 150.36 Sm.upf
As 74.92 As.upf
CELL_PARAMETERS angstrom
0.0000 3.6999 3.6999
3.6999 0.0000 3.6999
3.6999 3.6999 0.0000
ATOMIC_POSITIONS angstrom
Ba 0.0000 0.0000 0.0000
Sm 3.6999 3.6999 3.6999
As 1.8499 1.8499 1.8499

# 7
! PBE PrLuZnTe3, optimized geometry; values from VASP
! Uncorrected energy, eV for the cell shown: -51.3
&SYSTEM
  ibrav = 0, nat = 12, ntyp = 4
/
ATOMIC_SPECIES
Pr 140.91 Pr.upf
Lu 174.97 Lu.upf
Zn 65.41 Zn.upf
Te 127.60 Te.upf
CELL_PARAMETERS angstrom
2.1032 -7.4718 0.0000
2.1032 7.4718 0.0000
0.0000 0.0000 10.7232
ATOMIC_POSITIONS angstrom
Pr 2.1032 4.1265 8.0424
Pr 2.1032 -4.1265 2.6808
Lu 0.0000 0.0000 0.0000
Lu 0.0000 0.0000 5.3616
Zn 2.1032 0.4535 2.6808
Zn 2.1032 -0.4535 8.0424
Te 2.1032 5.8929 2.6808
Te 2.1032 2.2170 0.4260
Te 2.1032 2.2170 4.9356
Te 2.1032 -2.2170 5.7877
Te 2.1032 -2.2170 10.2972
Te 2.1032 -5.8929 8.0424

# 8
! PBE Cu11Te2, optimized geometry; values from VASP
! Energy relative to the lowest polymorph listed for this composition, meV per atom: 66
&SYSTEM
  ibrav = 0, nat = 26, ntyp = 2
/
ATOMIC_SPECIES
Cu 63.55 Cu.upf
Te 127.60 Te.upf
CELL_PARAMETERS angstrom
6.2226 0.0000 0.0000
0.0000 2.7198 0.0000
-0.4489 0.0000 32.3728
ATOMIC_POSITIONS angstrom
Cu -0.1941 0.6799 15.1207
Cu -0.1049 2.0398 12.9943
Cu 0.0561 0.6799 10.8581
Cu 0.1766 2.0398 8.6762
Cu 1.5405 0.6799 22.2045
Cu 1.6808 2.0398 20.0910
Cu 1.7946 0.6799 17.9585
Cu 1.8578 2.0398 15.8275
Cu 1.9348 0.6799 13.6972
Cu 2.0599 2.0398 11.5775
Cu 2.1622 0.6799 9.4411
Cu 3.6115 2.0398 22.9317
Cu 3.7138 0.6799 20.7953
Cu 3.8389 2.0398 18.6756
Cu 3.9159 0.6799 16.5452
Cu 3.9791 2.0398 14.4143
Cu 4.0929 0.6799 12.2818
Cu 4.2332 2.0398 10.1683
Cu 5.5971 0.6799 23.6966
Cu 5.7176 2.0398 21.5147
Cu 5.8786 0.6799 19.3784
Cu 5.9678 2.0398 17.2521
Te 1.1177 2.0398 6.2222
Te 1.6163 2.0398 24.6808
Te 4.1574 0.6799 7.6920
Te 4.6560 0.6799 26.1506

| no. | mass density (g/cm³) |
| --- | --- |
| 1 | 5.470 |
| 2 | 5.454 |
| 3 | 5.892 |
| 4 | 6.286 |
| 5 | 4.694 |
| 6 | 5.944 |
| 7 | 7.529 |
| 8 | 5.784 |